# VGe2Ir, relaxed, DFT PBE
data_VGe2Ir
_cell_length_a 2.8970
_cell_length_b 2.8970
_cell_length_c 27.0120
_cell_angle_alpha 90.00
_cell_angle_beta 90.00
_cell_angle_gamma 120.00
_symmetry_space_group_name_H-M 'R -3 m'
_symmetry_Int_Tables_number 166
_symmetry_space_group_name_Hall '-R 3 2"'
loop_
_atom_site_label
_atom_site_type_symbol
_atom_site_fract_x
_atom_site_fract_y
_atom_site_fract_z
V1 V 0.0000 0.0000 0.0000
Ge1 Ge 0.0000 0.0000 0.0927
Ir1 Ir 0.0000 0.0000 0.5000
# Calculated formation energy: 0.230 eV/atom
# Fermi-level density of states: 1.0189 states/eV per atom
# Electronic total energy: -78.89 eV for the cell shown
# Calculated density: 9.856 g/cm³
# Crystal system: trigonal